The following is a DFT calculation (GGA-PBE) of a relaxed CaRhO3 crystal.

Output
The volume comes out at 11.73 Å³ per atom. Its uncorrected formation energy is -801.6 kJ/mol of formula units. The crystal system is orthorhombic. The value obtained for the total energy is -130.14 eV for the cell shown. Its symmetry is Pnma. The calculation puts the density of states at the Fermi level at 1.35 states/eV/f.u.

Unit cell a=5.3698 b=5.6508 c=7.7293 alpha=90.00 beta=90.00 gamma=90.00
Closest atoms and distances in Å follow each position.
Element x y z (fractional)
Ca1 0.0186 0.4341 0.2500  6 O 2.28-2.56
Ca2 0.5186 0.0659 0.7500  6 O 2.28-2.56
Ca3 0.4814 0.9341 0.2500  6 O 2.28-2.56
Ca4 0.9814 0.5659 0.7500  6 O 2.28-2.56
Rh1 0.0000 0.0000 0.0000  6 O 2.03-2.04
Rh2 0.5000 0.5000 0.0000  6 O 2.03-2.04
Rh3 0.5000 0.5000 0.5000  6 O 2.03-2.04
Rh4 0.0000 0.0000 0.5000  6 O 2.03-2.04
O1 0.3096 0.1966 0.4460  2 Rh 2.04
O2 0.8096 0.3034 0.5540  2 Rh 2.04
O3 0.1904 0.6966 0.0540  2 Rh 2.04
O4 0.6904 0.8034 0.9460  2 Rh 2.04
O5 0.6904 0.8034 0.5540  2 Rh 2.04
O6 0.1904 0.6966 0.4460  2 Rh 2.04
O7 0.8096 0.3034 0.9460  2 Rh 2.04
O8 0.3096 0.1966 0.0540  2 Rh 2.04
O9 0.1074 0.9629 0.7500  2 Rh 2.03
O10 0.6074 0.5371 0.2500  2 Rh 2.03
O11 0.3926 0.4629 0.7500  2 Rh 2.03
O12 0.8926 0.0371 0.2500  2 Rh 2.03